! LaZnAgTe2 | Alexandria | PBE | optimized geometry; values from VASP
! Formation energy without anion corrections in meV/atom: -367
! SG: P4/mmm
&SYSTEM
  ibrav = 0, nat = 5, ntyp = 4
/
ATOMIC_SPECIES
La 138.91 La.upf
Zn 65.41 Zn.upf
Ag 107.87 Ag.upf
Te 127.60 Te.upf
CELL_PARAMETERS angstrom
5.5667 0.0000 0.0000
0.0000 5.5667 0.0000
0.0000 0.0000 4.7446
ATOMIC_POSITIONS angstrom
La 0.0000 0.0000 0.0000
Zn 2.7834 2.7834 0.0000
Ag 2.7834 2.7834 2.3723
Te 0.0000 2.7834 2.3723
Te 2.7834 0.0000 2.3723